[1]
Here is an optimized crystal structure of Mn2ReC from Alexandria via LeMat-Bulk. Energies are from PBE.

Structure (extended XYZ):
```
8
Lattice="-2.566 2.566 4.040 2.566 -2.566 4.040 2.566 2.566 -4.040" Properties=species:S:1:pos:R:3 pbc="T T T"
Mn 3.850 0.842 -1.010
Mn 0.842 1.283 1.010
Mn -1.283 1.724 3.030
Mn 1.724 1.283 5.050
Re 2.566 0.000 2.020
Re 0.000 0.000 4.040
C 0.000 0.000 0.000
C 0.000 2.566 2.020
```

## Properties
symmetry: I-42d, No. 122
ΔH_f (0 K): 0.8255 eV per atom
theoretical density: 9.61 g cm⁻³
final energy: -9.177 eV/atom

---

[2]
Here is an optimized crystal structure of Mn2ReC from Alexandria via LeMat-Bulk. Energies are from PBE.

Structure (extended XYZ):
```
8
Lattice="1.364 -4.242 0.000 1.364 4.242 0.000 0.000 0.000 7.112" Properties=species:S:1:pos:R:3 pbc="T T T"
Mn 1.364 3.107 4.074
Mn 1.364 3.107 6.594
Mn 1.364 -3.107 0.518
Mn 1.364 -3.107 3.038
Re 1.364 0.725 5.334
Re 1.364 -0.725 1.778
C 1.364 1.828 1.778
C 1.364 -1.828 5.334
```

## Properties
symmetry: Cmcm, No. 63
ΔH_f (0 K): 0.0215 eV per atom
theoretical density: 12.43 g cm⁻³
final energy: -9.981 eV/atom

---

[3]
Here is an optimized crystal structure of Mn2ReC from Alexandria via LeMat-Bulk. Energies are from PBE.

Structure (extended XYZ):
```
4
Lattice="1.386 0.800 6.584 -1.386 0.800 6.584 0.000 -1.601 6.584" Properties=species:S:1:pos:R:3 pbc="T T T"
Mn 0.000 0.000 4.414
Mn 0.000 0.000 15.337
Re 0.000 0.000 0.000
C 0.000 0.000 9.876
```

## Properties
symmetry: R-3m, No. 166
ΔH_f (0 K): 0.0566 eV per atom
theoretical density: 11.67 g cm⁻³
final energy: -9.946 eV/atom

---

[4]
Here is an optimized crystal structure of Mn2ReRhC from Alexandria via LeMat-Bulk. Energies are from PBE.

Structure (extended XYZ):
```
5
Lattice="3.902 0.000 0.000 0.000 3.902 0.000 0.000 0.000 4.020" Properties=species:S:1:pos:R:3 pbc="T T T"
Mn 0.000 1.951 0.000
Mn 1.951 0.000 0.000
Re 0.000 0.000 2.010
Rh 1.951 1.951 2.010
C 0.000 0.000 0.000
```

## Properties
symmetry: P4/mmm, No. 123
ΔH_f (0 K): 0.1180 eV per atom
theoretical density: 11.15 g cm⁻³
final energy: -9.355 eV/atom